This record from Alexandria via LeMat-Bulk describes a geometry-optimized LaMg2Cd9 structure. The functional is PBE.

Cell: 7.801 9.292 9.292 Å, 79.85 65.18 65.18°
Atoms (fractional coordinates):
Cd 0.595 0.324 0.083
Cd 0.322 0.083 0.676
Cd 0.000 0.000 0.000
Cd 0.003 0.917 0.676
Cd 0.081 0.917 0.324
Cd 0.155 0.417 0.176
Cd 0.155 0.176 0.417
Cd 0.322 0.676 0.083
Cd 0.003 0.676 0.917
Cd 0.750 0.500 0.500
Cd 0.669 0.583 0.176
Cd 0.428 0.824 0.417
Cd 0.669 0.176 0.583
Cd 0.595 0.083 0.324
Cd 0.747 0.583 0.824
Cd 0.747 0.824 0.583
Cd 0.428 0.417 0.824
Cd 0.081 0.324 0.917
Mg 0.375 0.750 0.750
Mg 0.875 0.250 0.750
Mg 0.875 0.750 0.250
Mg 0.875 0.250 0.250
La 0.500 0.000 0.000
La 0.250 0.500 0.500

## Properties
Energy above the most stable polymorph in this dataset, meV per atom: 0
Magnetization, μB/f.u.: 0.0
SG: No. 141
N(E_F), states/eV/atom: 0.311
Theoretical density, g cm⁻³: 7.18